Material: Y5Sb
Method: DFT, GGA-PBEsol
State: relaxed

Values from the calculation:
Its uncorrected formation energy is -0.3217 eV/atom. The value obtained for the energy above the most stable polymorph in this dataset is 0.000 kcal/mol of atoms. Its density of states at the Fermi level is 8.209 states/eV/cell. The total energy is -6.7664 eV/atom. The magnetization is 0.76 μB/f.u.

a b c (Å): 3.8771 3.8771 11.5975
angles (deg): 90.00 90.00 90.00
Sites, in units of the cell vectors:
Y  0.0000  0.0000  0.0000
Y  0.0000  0.0000  0.3611
Y  0.0000  0.0000  0.6389
Y  0.5000  0.5000  0.1806
Y  0.5000  0.5000  0.8194
Sb  0.5000  0.5000  0.5000